DFT (PBE-GGA) results for a relaxed structure of Pr3Ho2Hg2.

Values from the calculation:
Calculated formation energy in eV per atom: -0.119

Unit cell a=11.9582 b=11.9582 c=3.5700 alpha=90.00 beta=90.00 gamma=155.85
Closest atoms and distances in Å follow each position.
Atoms (fractional coordinates):
Pr (0.0000, 0.0000, 0.0000)  4 Pr 3.37-3.57, 8 Hg 3.50
Pr (0.1440, 0.8560, 0.0000)  3 Pr 3.37-3.57, 4 Ho 3.43, 4 Hg 3.51
Pr (0.8560, 0.1440, 0.0000)  3 Pr 3.37-3.57, 4 Ho 3.43, 4 Hg 3.51
Ho (0.2909, 0.7091, 0.5000)  2 Ho 3.15, 1 Hg 3.22, 4 Pr 3.43
Ho (0.7091, 0.2909, 0.5000)  2 Ho 3.15, 1 Hg 3.22, 4 Pr 3.43
Hg (0.4287, 0.5713, 0.5000)  1 Ho 3.22, 3 Hg 3.34-3.57, 8 Pr 3.50-3.51
Hg (0.5713, 0.4287, 0.5000)  1 Ho 3.22, 3 Hg 3.34-3.57, 8 Pr 3.50-3.51


DFT (PBE-GGA) results for a relaxed structure of LiSi2Tc.

Values from the calculation:
Energy above the lowest structure with this stoichiometry in meV per atom: 30
Formation energy without anion corrections in kcal/mol of atoms: -6.21

Unit cell a=4.5850 b=4.9184 c=10.3479 alpha=98.05 beta=95.72 gamma=95.78
Closest atoms and distances in Å follow each position.
Atoms (fractional coordinates):
Li (0.1783, 0.2052, 0.3245)  5 Si 2.45-2.71, 1 Tc 2.73
Li (0.2653, 0.4478, 0.0716)  5 Si 2.49-2.72, 1 Tc 2.68, 1 Li 2.78
Li (0.7347, 0.5522, 0.9284)  5 Si 2.49-2.72, 1 Tc 2.68, 1 Li 2.78
Li (0.8217, 0.7948, 0.6755)  5 Si 2.45-2.71, 1 Tc 2.73
Si (0.1657, 0.9404, 0.0911)  2 Si 2.42-2.48, 3 Tc 2.45-2.53, 3 Li 2.49-2.57
Si (0.1766, 0.3636, 0.8160)  2 Si 2.42-2.52, 3 Tc 2.43-2.68, 2 Li 2.60-2.62
Si (0.2390, 0.7146, 0.4089)  1 Si 2.34, 3 Tc 2.42-2.59, 1 Li 2.51
Si (0.3663, 0.0134, 0.6531)  2 Si 2.34-2.52, 3 Tc 2.44-2.58, 1 Li 2.45
Si (0.6337, 0.9866, 0.3469)  2 Si 2.34-2.52, 3 Tc 2.44-2.58, 1 Li 2.45
Si (0.7610, 0.2854, 0.5911)  1 Si 2.34, 3 Tc 2.42-2.59, 1 Li 2.51
Si (0.8234, 0.6364, 0.1840)  2 Si 2.42-2.52, 3 Tc 2.43-2.68, 2 Li 2.60-2.62
Si (0.8343, 0.0596, 0.9089)  2 Si 2.42-2.48, 3 Tc 2.45-2.53, 3 Li 2.49-2.57
Tc (0.2695, 0.4983, 0.6050)  6 Si 2.42-2.59
Tc (0.3139, 0.8681, 0.8662)  6 Si 2.44-2.68, 1 Li 2.68
Tc (0.6861, 0.1319, 0.1338)  6 Si 2.44-2.68, 1 Li 2.68
Tc (0.7305, 0.5017, 0.3950)  6 Si 2.42-2.59


DFT (PBE-GGA) results for a relaxed structure of HoAlZn4Ag2.

Values from the calculation:
Calculated formation energy in eV per atom: -0.102

Unit cell a=9.0025 b=9.0025 c=9.0025 alpha=28.30 beta=28.30 gamma=28.30
Closest atoms and distances in Å follow each position.
Atoms (fractional coordinates):
Ho (0.0000, 0.0000, 0.0000)  8 Zn 2.98-3.23
Al (0.5000, 0.5000, 0.5000)  8 Zn 2.76-2.77
Zn (0.1247, 0.1247, 0.1247)  3 Ag 2.71, 3 Al 2.76
Zn (0.3931, 0.3931, 0.3931)  3 Ag 2.65, 1 Al 2.77
Zn (0.6069, 0.6069, 0.6069)  3 Ag 2.65, 1 Al 2.77
Zn (0.8753, 0.8753, 0.8753)  3 Ag 2.71, 3 Al 2.76
Ag (0.2451, 0.2451, 0.2451)  6 Zn 2.65-2.71
Ag (0.7549, 0.7549, 0.7549)  6 Zn 2.65-2.71


DFT (PBE-GGA) results for a relaxed structure of NdPu2NpSb4.

Values from the calculation:
Formation energy without anion corrections in kcal/mol of atoms: -14.46

Unit cell a=7.7005 b=4.4475 c=7.7010 alpha=90.00 beta=109.38 gamma=90.00
Closest atoms and distances in Å follow each position.
Atoms (fractional coordinates):
Nd (0.0000, 0.0000, 0.0000)  6 Sb 3.17-3.18
Pu (0.5000, 0.0000, 0.5000)  6 Sb 3.11
Pu (0.5000, 0.5000, 0.0000)  6 Sb 3.15
Np (0.0000, 0.5000, 0.5000)  6 Sb 3.13-3.14
Sb (0.2514, 0.0000, 0.7464)  3 Pu 3.11-3.15, 2 Np 3.14, 1 Nd 3.17
Sb (0.2548, 0.5000, 0.2563)  3 Pu 3.11-3.15, 1 Np 3.13, 2 Nd 3.18
Sb (0.7452, 0.5000, 0.7437)  3 Pu 3.11-3.15, 1 Np 3.13, 2 Nd 3.18
Sb (0.7486, 0.0000, 0.2536)  3 Pu 3.11-3.15, 2 Np 3.14, 1 Nd 3.17


DFT (PBE-GGA) results for a relaxed structure of LiRu2W.

Values from the calculation:
Calculated formation energy in eV per atom: 0.195
Energy above the lowest structure with this stoichiometry in meV per atom: 250

Unit cell a=2.7031 b=4.1223 c=5.1620 alpha=90.00 beta=103.13 gamma=90.00
Closest atoms and distances in Å follow each position.
Atoms (fractional coordinates):
Li (0.0000, 0.0000, 0.0000)  4 Ru 2.53-2.63, 2 W 2.66, 2 Li 2.70
Ru (0.0248, 0.0000, 0.4928)  2 Li 2.53-2.63, 2 W 2.60, 4 Ru 2.70-2.76
Ru (0.4521, 0.5000, 0.2225)  2 W 2.49-2.68, 2 Li 2.53, 4 Ru 2.70-2.76
W (0.4881, 0.5000, 0.7451)  4 Ru 2.49-2.68, 2 Li 2.66, 2 W 2.70


DFT (PBE-GGA) results for a relaxed structure of LiTmNpTe3.

Values from the calculation:
Formation energy without anion corrections in kcal/mol of atoms: -21.78

Unit cell a=8.8665 b=4.2460 c=9.4700 alpha=90.00 beta=103.88 gamma=90.00
Closest atoms and distances in Å follow each position.
Atoms (fractional coordinates):
Li (0.0851, 0.2500, 0.0823)  4 Te 2.72-2.78, 2 Li 2.84
Li (0.9149, 0.7500, 0.9177)  4 Te 2.72-2.78, 2 Li 2.84
Tm (0.3300, 0.7500, 0.3362)  6 Te 3.02-3.08
Tm (0.6700, 0.2500, 0.6638)  6 Te 3.02-3.08
Np (0.1825, 0.2500, 0.7282)  7 Te 3.19-3.29
Np (0.8175, 0.7500, 0.2718)  7 Te 3.19-3.29
Te (0.0950, 0.2500, 0.3715)  1 Li 2.72
Te (0.2378, 0.7500, 0.0008)  3 Li 2.73-2.78
Te (0.4291, 0.7500, 0.6699)  3 Tm 3.02-3.07, 2 Np 3.19
Te (0.5709, 0.2500, 0.3301)  3 Tm 3.02-3.07, 2 Np 3.19
Te (0.7622, 0.2500, 0.9992)  3 Li 2.73-2.78
Te (0.9050, 0.7500, 0.6285)  1 Li 2.72


DFT (PBE-GGA) results for a relaxed structure of ZnCrRe2.

Values from the calculation:
Calculated formation energy in eV per atom: 0.232

Unit cell a=2.7513 b=2.7513 c=7.4547 alpha=90.00 beta=90.00 gamma=90.00
Closest atoms and distances in Å follow each position.
Atoms (fractional coordinates):
Zn (0.0000, 0.0000, 0.0000)  4 Cr 2.66, 4 Zn 2.75, 4 Re 2.76
Cr (0.5000, 0.5000, 0.2432)  4 Re 2.64, 4 Zn 2.66, 4 Cr 2.75
Re (0.0000, 0.0000, 0.4818)  4 Cr 2.64, 8 Re 2.72-2.75
Re (0.5000, 0.5000, 0.7372)  8 Re 2.72-2.75, 4 Zn 2.76


DFT (PBE-GGA) results for a relaxed structure of LaPd2Pt4.

Values from the calculation:
Calculated formation energy in eV per atom: -0.505
Energy above the lowest structure with this stoichiometry in meV per atom: 0

Unit cell a=5.5389 b=5.5389 c=5.3838 alpha=118.90 beta=118.90 gamma=76.44
Closest atoms and distances in Å follow each position.
Atoms (fractional coordinates):
La (0.0000, 0.0000, 0.0000)  4 Pt 2.94
Pd (0.4993, 0.4993, 0.2494)  2 Pd 2.69, 8 Pt 2.82
Pd (0.5007, 0.5007, 0.7506)  2 Pd 2.69, 8 Pt 2.82
Pt (0.9999, 0.3933, 0.6960)  4 Pt 2.70-2.89, 4 Pd 2.82, 1 La 2.94
Pt (0.0001, 0.6067, 0.3040)  4 Pt 2.70-2.89, 4 Pd 2.82, 1 La 2.94
Pt (0.3933, 0.9999, 0.6960)  4 Pt 2.70-2.89, 4 Pd 2.82, 1 La 2.94
Pt (0.6067, 0.0001, 0.3040)  4 Pt 2.70-2.89, 4 Pd 2.82, 1 La 2.94


DFT (PBE-GGA) results for a relaxed structure of Ac3Nd7Tl4.

Values from the calculation:
Calculated formation energy in eV per atom: -0.186

Unit cell a=10.0561 b=10.0561 c=12.3247 alpha=126.08 beta=126.08 gamma=30.16
Closest atoms and distances in Å follow each position.
Atoms (fractional coordinates):
Ac (0.0000, 0.0000, 0.0000)  6 Tl 3.65-3.70
Ac (0.3073, 0.3073, 0.3020)  4 Tl 3.70-4.02, 10 Nd 3.75-4.07
Ac (0.6927, 0.6927, 0.6980)  4 Tl 3.70-4.02, 10 Nd 3.75-4.07
Nd (0.0000, 0.0000, 0.5000)  2 Tl 3.27
Nd (0.1678, 0.1678, 0.4390)  3 Tl 3.31-3.46, 4 Nd 3.49-3.67
Nd (0.3089, 0.3089, 0.9730)  4 Tl 3.16-3.26
Nd (0.4818, 0.4818, 0.6891)  3 Tl 3.20-3.22, 2 Nd 3.49
Nd (0.5182, 0.5182, 0.3109)  3 Tl 3.20-3.22, 2 Nd 3.49
Nd (0.6911, 0.6911, 0.0270)  4 Tl 3.16-3.26
Nd (0.8322, 0.8322, 0.5610)  3 Tl 3.31-3.46, 4 Nd 3.49-3.67
Tl (0.1019, 0.1019, 0.8307)  6 Nd 3.22-3.27
Tl (0.3476, 0.3476, 0.7588)  5 Nd 3.16-3.46
Tl (0.6524, 0.6524, 0.2412)  5 Nd 3.16-3.46
Tl (0.8981, 0.8981, 0.1693)  6 Nd 3.22-3.27


DFT (PBE-GGA) results for a relaxed structure of Ca4Mg2Cu.

Values from the calculation:
Calculated formation energy in eV per atom: 0.086
Energy above the lowest structure with this stoichiometry in meV per atom: 21

Unit cell a=9.3391 b=9.3391 c=9.3391 alpha=33.92 beta=33.92 gamma=33.92
Closest atoms and distances in Å follow each position.
Atoms (fractional coordinates):
Ca (0.1221, 0.1221, 0.1221)  1 Cu 3.22, 4 Mg 3.32-3.41
Ca (0.3731, 0.3731, 0.3731)  4 Mg 3.21-3.34, 3 Cu 3.32
Ca (0.6269, 0.6269, 0.6269)  4 Mg 3.21-3.34, 3 Cu 3.32
Ca (0.8779, 0.8779, 0.8779)  1 Cu 3.22, 4 Mg 3.32-3.41
Mg (0.2514, 0.2514, 0.2514)  8 Ca 3.21-3.41
Mg (0.7486, 0.7486, 0.7486)  8 Ca 3.21-3.41
Cu (0.0000, 0.0000, 0.0000)  8 Ca 3.22-3.32


DFT (PBE-GGA) results for a relaxed structure of LaTmSi.

Values from the calculation:
Energy above the lowest structure with this stoichiometry in meV per atom: 72
Formation energy without anion corrections in kcal/mol of atoms: -8.39

Unit cell a=8.2913 b=8.2913 c=5.3665 alpha=96.16 beta=96.16 gamma=25.86
Closest atoms and distances in Å follow each position.
Atoms (fractional coordinates):
La (0.0781, 0.0781, 0.1947)  1 La 3.09, 6 Si 3.11-3.39, 2 Tm 3.38-3.43
La (0.9219, 0.9219, 0.8053)  1 La 3.09, 6 Si 3.11-3.39, 2 Tm 3.38-3.43
Tm (0.2089, 0.2089, 0.7318)  2 Si 2.99
Tm (0.7911, 0.7911, 0.2682)  2 Si 2.99
Si (0.4365, 0.4365, 0.3381)  1 Si 2.54
Si (0.5635, 0.5635, 0.6619)  1 Si 2.54


DFT (PBE-GGA) results for a relaxed structure of Mn2AlW.

Values from the calculation:
Calculated formation energy in eV per atom: 0.100

Unit cell a=4.4953 b=4.4953 c=4.8145 alpha=95.69 beta=95.69 gamma=34.13
Closest atoms and distances in Å follow each position.
Atoms (fractional coordinates):
Mn (0.2449, 0.2449, 0.2452)  3 W 2.54-2.74, 3 Al 2.60-2.66, 6 Mn 2.64-2.78
Mn (0.7551, 0.7551, 0.7548)  3 W 2.54-2.74, 3 Al 2.60-2.66, 6 Mn 2.64-2.78
Al (0.5000, 0.5000, 0.0000)  6 Mn 2.60-2.66, 2 Al 2.64, 4 W 2.75
W (0.0000, 0.0000, 0.5000)  6 Mn 2.54-2.74, 2 W 2.64, 4 Al 2.75


no.,total magnetization (μB/f.u.),E_tot (eV/atom)
1,0.0,-3.56
2,0.0,-6.05
3,0.0,-2.49
4,6.7,-8.48
5,0.0,-8.16
6,4.8,-5.74
7,0.1,-8.72
8,0.0,-6.14
9,0.0,-4.13
10,0.0,-2.10
11,0.0,-5.30
12,3.2,-8.66